Record 1
Material: Zr3BiF
Method: DFT, PBEsol
State: relaxed

Computed properties:
Density, g cm⁻³: 8.902
Energy relative to the elements, uncorrected, meV/atom: -716

Cell: 4.540 4.540 4.540 Å, 90.00 90.00 90.00°
Positions (direct):
Zr 0.000 0.000 0.500
Zr 0.000 0.500 0.000
Zr 0.500 0.000 0.000
Bi 0.500 0.500 0.500
F 0.000 0.000 0.000

Record 2
Material: Li2HgPt
Method: DFT, PBEsol
State: relaxed

Computed properties:
Final energy, eV for the cell shown: -13.17
Density, g cm⁻³: 11.972

Cell: 4.283 4.283 3.097 Å, 90.00 90.00 90.00°
Positions (direct):
Li 0.000 0.500 0.000
Li 0.500 0.000 0.000
Hg 0.000 0.000 0.500
Pt 0.500 0.500 0.500

Record 3
Material: LaSc2Be
Method: DFT, PBEsol
State: relaxed

Computed properties:
Final energy, eV for the cell shown: -21.50
Density, g cm⁻³: 4.426

Cell: 3.541 4.923 5.119 Å, 90.00 90.00 90.00°
Positions (direct):
La 0.000 0.000 0.000
Sc 0.000 0.500 0.500
Sc 0.500 0.500 0.000
Be 0.500 0.000 0.500

Record 4
Material: RbSc2Bi2
Method: DFT, PBEsol
State: relaxed

Computed properties:
Final energy, eV for the cell shown: -50.56
Density, g cm⁻³: 5.697

Cell: 4.881 4.881 14.518 Å, 90.00 90.00 90.00°
Positions (direct):
Rb 0.000 0.000 0.000
Rb 0.500 0.500 0.500
Sc 0.000 0.500 0.250
Sc 0.000 0.500 0.750
Sc 0.500 0.000 0.250
Sc 0.500 0.000 0.750
Bi 0.000 0.000 0.363
Bi 0.000 0.000 0.637
Bi 0.500 0.500 0.137
Bi 0.500 0.500 0.863

Record 5
Material: Y3RePb
Method: DFT, PBEsol
State: relaxed

Computed properties:
Final energy, eV for the cell shown: -30.70
Density, g cm⁻³: 6.409

Cell: 5.551 5.551 5.551 Å, 90.00 90.00 90.00°
Positions (direct):
Y 0.000 0.000 0.500
Y 0.000 0.500 0.000
Y 0.500 0.000 0.000
Re 0.500 0.500 0.500
Pb 0.000 0.000 0.000

Record 6
Material: KLiNi2
Method: DFT, PBEsol
State: relaxed

Computed properties:
Final energy, eV for the cell shown: -13.31
Density, g cm⁻³: 3.793

Cell: 2.577 4.280 6.572 Å, 90.00 99.27 90.00°
Positions (direct):
K 0.000 0.000 0.000
Li 0.500 0.000 0.500
Ni 0.297 0.500 0.648
Ni 0.703 0.500 0.352

Number 1: V 93.58 Å³ per cell, N(E_F) 7.3 states/eV/cell. Number 2: V 56.81 Å³ per cell, N(E_F) 1.0 states/eV/cell. Number 3: V 89.23 Å³ per cell, N(E_F) 5.2 states/eV/cell. Number 4: V 345.89 Å³ per cell, N(E_F) 5.6 states/eV/cell. Number 5: V 171.04 Å³ per cell, N(E_F) 10.0 states/eV/cell. Number 6: V 71.55 Å³ per cell, N(E_F) 3.8 states/eV/cell.